! PBE-GGA Hf2GeAu, optimized geometry; values from VASP
! Density ... 12.537 g cm⁻³
! SG ... I-42d, No. 122
! D(E_F) ... 3.490 states/eV/f.u.
! Volume ... 166.0 Å³/cell
! Formation enthalpy at 0 K ... -0.190 eV per atom
&SYSTEM
  ibrav = 0, nat = 8, ntyp = 3
/
ATOMIC_SPECIES
Ge 72.64 Ge.upf
Hf 178.49 Hf.upf
Au 196.97 Au.upf
ATOMIC_POSITIONS crystal
Ge 0.500 0.500 0.000
Ge 0.250 0.750 0.500
Hf 0.129 0.625 0.250
Hf 0.875 0.871 0.750
Hf 0.375 0.379 0.750
Hf 0.621 0.125 0.250
Au 0.000 0.000 0.000
Au 0.750 0.250 0.500
CELL_PARAMETERS angstrom
7.414 0.000 0.000
0.000 7.414 0.000
3.707 3.707 3.020


! PBE-GGA Th12Sb6Os, optimized geometry; values from VASP
! Density ... 9.781 g cm⁻³
! SG ... R-3, No. 148
! D(E_F) ... 21.515 states/eV/f.u.
! Volume ... 629.1 Å³/cell
! E_form (uncorrected) ... -363 meV/atom
&SYSTEM
  ibrav = 0, nat = 19, ntyp = 3
/
ATOMIC_SPECIES
Th 232.04 Th.upf
Sb 121.76 Sb.upf
Os 190.23 Os.upf
ATOMIC_POSITIONS crystal
Th 0.943 0.983 0.672
Th 0.672 0.943 0.983
Th 0.578 0.453 0.801
Th 0.422 0.547 0.199
Th 0.199 0.422 0.547
Th 0.057 0.017 0.328
Th 0.328 0.057 0.017
Th 0.801 0.578 0.453
Th 0.547 0.199 0.422
Th 0.983 0.672 0.943
Th 0.017 0.328 0.057
Th 0.453 0.801 0.578
Sb 0.666 0.318 0.121
Sb 0.334 0.682 0.879
Sb 0.879 0.334 0.682
Sb 0.121 0.666 0.318
Sb 0.682 0.879 0.334
Sb 0.318 0.121 0.666
Os 0.000 0.000 0.000
CELL_PARAMETERS angstrom
8.689 -0.018 -0.022
-1.335 8.586 -0.022
-1.335 -1.556 8.443


! PBE-GGA MgPaGaFe, optimized geometry; values from VASP
! Density ... 8.520 g cm⁻³
! SG ... F-43m, No. 216
! D(E_F) ... 5.591 states/eV/f.u.
! Volume ... 74.2 Å³/cell
! Formation enthalpy at 0 K ... 0.030 eV per atom
&SYSTEM
  ibrav = 0, nat = 4, ntyp = 4
/
ATOMIC_SPECIES
Pa 231.04 Pa.upf
Mg 24.30 Mg.upf
Fe 55.84 Fe.upf
Ga 69.72 Ga.upf
ATOMIC_POSITIONS crystal
Pa 0.000 0.000 0.000
Mg 0.500 0.500 0.500
Fe 0.750 0.750 0.750
Ga 0.250 0.250 0.250
CELL_PARAMETERS angstrom
4.718 0.000 0.000
2.359 4.086 0.000
2.359 1.362 3.852


! PBE-GGA Ho2ThSe3, optimized geometry; values from VASP
! Density ... 8.999 g cm⁻³
! SG ... Immm, No. 71
! D(E_F) ... 4.333 states/eV/f.u.
! Volume ... 147.4 Å³/cell
! E_form (uncorrected) ... -1636 meV/atom
&SYSTEM
  ibrav = 0, nat = 6, ntyp = 3
/
ATOMIC_SPECIES
Se 78.96 Se.upf
Th 232.04 Th.upf
Ho 164.93 Ho.upf
ATOMIC_POSITIONS crystal
Se 0.000 0.000 0.000
Se 0.323 0.323 0.646
Se 0.677 0.677 0.354
Th 0.000 0.500 0.000
Ho 0.339 0.839 0.679
Ho 0.661 0.161 0.321
CELL_PARAMETERS angstrom
-3.527 -0.742 -1.765
-0.078 -5.318 2.391
-1.201 5.337 4.720


! PBE-GGA Al2InSe3, optimized geometry; values from VASP
! Density ... 4.122 g cm⁻³
! SG ... C2/m, No. 12
! D(E_F) ... 1.796 states/eV/f.u.
! Volume ... 326.8 Å³/cell
! E_form (uncorrected) ... -535 meV/atom
&SYSTEM
  ibrav = 0, nat = 12, ntyp = 3
/
ATOMIC_SPECIES
Al 26.98 Al.upf
Se 78.96 Se.upf
In 114.82 In.upf
ATOMIC_POSITIONS crystal
Al 0.052 0.179 0.105
Al 0.698 0.337 0.397
Al 0.948 0.821 0.895
Al 0.302 0.663 0.603
Se 0.397 0.621 0.794
Se 0.959 0.178 0.917
Se 0.253 0.277 0.506
Se 0.041 0.822 0.083
Se 0.747 0.723 0.494
Se 0.603 0.379 0.206
In 0.641 0.881 0.282
In 0.359 0.119 0.718
CELL_PARAMETERS angstrom
3.872 0.000 0.000
0.000 6.885 -0.806
-1.936 -2.775 12.585


! PBE-GGA Nd3Er13, optimized geometry; values from VASP
! Density ... 8.653 g cm⁻³
! SG ... Amm2, No. 38
! D(E_F) ... 18.665 states/eV/f.u.
! Volume ... 500.3 Å³/cell
! Formation enthalpy at 0 K ... 0.020 eV per atom
! Polymorph energy (0 for the lowest one) ... 10 meV per atom
&SYSTEM
  ibrav = 0, nat = 16, ntyp = 2
/
ATOMIC_SPECIES
Nd 144.24 Nd.upf
Er 167.26 Er.upf
ATOMIC_POSITIONS crystal
Nd 0.748 0.252 0.000
Nd 0.001 0.999 0.251
Nd 0.001 0.999 0.749
Er 0.748 0.748 0.000
Er 0.252 0.748 0.500
Er 0.499 0.501 0.748
Er 0.252 0.252 0.000
Er 0.748 0.252 0.500
Er 0.499 0.999 0.251
Er 0.499 0.999 0.749
Er 0.252 0.748 0.000
Er 0.001 0.501 0.251
Er 0.499 0.501 0.252
Er 0.252 0.251 0.500
Er 0.001 0.501 0.749
Er 0.749 0.748 0.500
CELL_PARAMETERS angstrom
-6.736 2.147 0.322
-0.854 -1.720 -6.812
-2.805 -9.205 2.676


! PBE-GGA YAgC, optimized geometry; values from VASP
! Density ... 3.320 g cm⁻³
! SG ... P6_3/mmc, No. 194
! D(E_F) ... 1.837 states/eV/f.u.
! Volume ... 208.8 Å³/cell
! Formation enthalpy at 0 K ... 1.713 eV per atom
&SYSTEM
  ibrav = 0, nat = 6, ntyp = 3
/
ATOMIC_SPECIES
Ag 107.87 Ag.upf
Y 88.91 Y.upf
C 12.01 C.upf
ATOMIC_POSITIONS crystal
Ag 0.667 0.333 0.750
Ag 0.333 0.667 0.250
Y 0.000 0.000 0.750
Y 0.000 0.000 0.250
C 0.000 0.000 0.000
C 0.000 0.000 0.500
CELL_PARAMETERS angstrom
-3.735 3.050 2.117
1.745 -4.225 2.615
6.126 4.874 3.786


! PBE-GGA NaCaErHg, optimized geometry; values from VASP
! Density ... 6.468 g cm⁻³
! SG ... F-43m, No. 216
! D(E_F) ... 4.225 states/eV/f.u.
! Volume ... 110.6 Å³/cell
! Formation enthalpy at 0 K ... -0.105 eV per atom
&SYSTEM
  ibrav = 0, nat = 4, ntyp = 4
/
ATOMIC_SPECIES
Na 22.99 Na.upf
Hg 200.59 Hg.upf
Ca 40.08 Ca.upf
Er 167.26 Er.upf
ATOMIC_POSITIONS crystal
Na 0.000 0.000 0.000
Hg 0.500 0.500 0.500
Ca 0.750 0.750 0.750
Er 0.250 0.250 0.250
CELL_PARAMETERS angstrom
5.389 0.000 0.000
2.694 4.667 0.000
2.694 1.556 4.400


! PBE-GGA ZnCo2Tc, optimized geometry; values from VASP
! Density ... 9.347 g cm⁻³
! SG ... P4/mmm, No. 123
! D(E_F) ... 4.243 states/eV/f.u.
! Volume ... 50.0 Å³/cell
! Formation enthalpy at 0 K ... 0.151 eV per atom
&SYSTEM
  ibrav = 0, nat = 4, ntyp = 3
/
ATOMIC_SPECIES
Zn 65.41 Zn.upf
Co 58.93 Co.upf
Tc 98.00 Tc.upf
ATOMIC_POSITIONS crystal
Zn 0.000 0.500 0.500
Co 0.000 0.000 0.000
Co 0.500 0.500 0.000
Tc 0.500 0.000 0.500
CELL_PARAMETERS angstrom
4.255 0.000 0.000
0.000 4.255 0.000
0.000 0.000 2.760


! PBE-GGA Mn7CrC2, optimized geometry; values from VASP
! Density ... 6.589 g cm⁻³
! SG ... Cmmm, No. 65
! D(E_F) ... 10.591 states/eV/f.u.
! Volume ... 116.1 Å³/cell
! Formation enthalpy at 0 K ... 0.285 eV per atom
&SYSTEM
  ibrav = 0, nat = 10, ntyp = 3
/
ATOMIC_SPECIES
C 12.01 C.upf
Mn 54.94 Mn.upf
Cr 52.00 Cr.upf
ATOMIC_POSITIONS crystal
C 0.500 0.700 0.300
C 0.500 0.300 0.700
Mn 0.500 0.321 0.060
Mn 0.500 0.060 0.321
Mn 0.000 0.713 0.287
Mn 0.500 0.500 0.500
Mn 0.500 0.679 0.940
Mn 0.000 0.287 0.713
Mn 0.500 0.940 0.679
Cr 0.000 0.000 0.000
CELL_PARAMETERS angstrom
3.814 0.000 0.000
0.000 5.778 0.094
0.000 -2.465 5.227


! PBE-GGA PaRu2W, optimized geometry; values from VASP
! Density ... 14.951 g cm⁻³
! SG ... R-3m, No. 166
! D(E_F) ... 4.357 states/eV/f.u.
! Volume ... 68.5 Å³/cell
! Formation enthalpy at 0 K ... 0.161 eV per atom
! Polymorph energy (0 for the lowest one) ... 326 meV per atom
&SYSTEM
  ibrav = 0, nat = 4, ntyp = 3
/
ATOMIC_SPECIES
W 183.84 W.upf
Ru 101.07 Ru.upf
Pa 231.04 Pa.upf
ATOMIC_POSITIONS crystal
W 0.000 0.000 0.000
Ru 0.259 0.259 0.223
Ru 0.741 0.741 0.777
Pa 0.500 0.500 0.500
CELL_PARAMETERS angstrom
2.922 0.000 0.000
1.461 2.530 0.000
1.461 0.843 9.269


! PBE-GGA TiVCdSn2, optimized geometry; values from VASP
! Density ... 6.144 g cm⁻³
! SG ... P4/mmm, No. 123
! D(E_F) ... 3.556 states/eV/f.u.
! Volume ... 121.3 Å³/cell
! Formation enthalpy at 0 K ... 0.386 eV per atom
&SYSTEM
  ibrav = 0, nat = 5, ntyp = 4
/
ATOMIC_SPECIES
Ti 47.87 Ti.upf
V 50.94 V.upf
Cd 112.41 Cd.upf
Sn 118.71 Sn.upf
ATOMIC_POSITIONS crystal
Ti 0.000 0.500 0.000
V 0.000 0.000 0.000
Cd 0.500 0.500 0.500
Sn 0.000 0.000 0.500
Sn 0.500 0.000 0.000
CELL_PARAMETERS angstrom
-2.467 4.346 1.473
-2.465 -0.137 -3.724
-3.577 -2.869 2.474